A geometry-optimized NbPbAuBr2 structure, computed with GGA-PBE.

Its crystal system is tetragonal. The uncorrected formation energy is 0.9302 eV per atom.

The structure belongs to space group P4/mmm (No. 123); the cell edges are 5.279, 5.279 and 5.648 Å and the angles 90.00°, 90.00° and 90.00°. The asymmetric unit holds Nb at (0.000, 0.000, 0.000), Pb at (0.500, 0.500, 0.000), Au at (0.500, 0.500, 0.500) and Br at (0.000, 0.500, 0.500).

---

A geometry-optimized LiTl2Ni2 structure, computed with GGA-PBE.

The energy of formation from the pure elements is 0.15 eV per atom. Its crystal system is tetragonal. The calculation puts the excess energy over the best structure of this formula in the dataset at 0.067 eV/atom.

The structure belongs to space group P4/mbm (No. 127); the cell edges are 7.497, 7.497 and 3.135 Å and the angles 90.00°, 90.00° and 90.00°. The asymmetric unit holds Li at (0.000, 0.000, 0.000), Tl at (0.165, 0.335, 0.000) and Ni at (0.131, 0.631, 0.500).

---

A geometry-optimized Sr2YCu2 structure, computed with GGA-PBE.

The energy of formation from the pure elements is 0.00 eV per atom. Its crystal system is tetragonal.

The structure belongs to space group P4/mbm (No. 127); the cell edges are 7.796, 7.796 and 4.740 Å and the angles 90.00°, 90.00° and 90.00°. The asymmetric unit holds Sr at (0.174, 0.326, 0.000), Y at (0.000, 0.000, 0.500) and Cu at (0.116, 0.616, 0.500).

---

A geometry-optimized CaNb2Re structure, computed with GGA-PBE.

The energy of formation from the pure elements is 0.74 eV per atom. Its crystal system is tetragonal. The calculation puts the excess energy over the best structure of this formula in the dataset at 0.287 eV/atom.

The structure belongs to space group I-42d (No. 122); the cell edges are 7.708, 7.708 and 5.924 Å and the angles 90.00°, 90.00° and 90.00°. The asymmetric unit holds Ca at (0.000, 0.000, 0.000), Nb at (0.193, 0.250, 0.625) and Re at (0.000, 0.000, 0.500).

---

A geometry-optimized Cd3BPd structure, computed with GGA-PBE.

The energy of formation from the pure elements is 0.38 eV per atom. Its crystal system is cubic. The calculation puts the excess energy over the best structure of this formula in the dataset at 0.000 eV/atom.

The structure belongs to space group Pm-3m (No. 221); the cell edges are 4.510, 4.510 and 4.510 Å and the angles 90.00°, 90.00° and 90.00°. The asymmetric unit holds Cd at (0.000, 0.000, 0.500), B at (0.000, 0.000, 0.000) and Pd at (0.500, 0.500, 0.500).